Below is a relaxed structure of Dy4Er5Tl2, with properties calculated at the GGA-PBE level.

Cell lengths 22.426, 3.546, 9.186 Å; angles 90.00, 106.17, 90.00 degrees
Space group C2/m (No. 12)
Asymmetric unit:
1 Dy 0.018 0.000 0.317 (multiplicity 4)
2 Dy 0.103 0.500 0.617 (multiplicity 4)
3 Er 0.000 0.500 0.000 (multiplicity 2)
4 Er 0.127 0.000 0.956 (multiplicity 4)
5 Er 0.178 0.000 0.383 (multiplicity 4)
6 Tl 0.236 0.500 0.828 (multiplicity 4)

Computed properties:
Magnetization ... 0.00 μB per cell
DOS(E_F) ... 12.3 states/eV/f.u.
Energy relative to the elements ... 105 kJ/mol of formula units



Below is a relaxed structure of Dy5Er4Tl4, with properties calculated at the GGA-PBE level.

Cell lengths 12.226, 12.226, 5.043 Å; angles 90.00, 90.00, 90.00 degrees
Space group I4/m (No. 87)
Asymmetric unit:
1 Dy 0.000 0.000 0.000 (multiplicity 2)
2 Dy 0.100 0.813 0.500 (multiplicity 8)
3 Er 0.096 0.604 0.000 (multiplicity 8)
4 Tl 0.103 0.235 0.000 (multiplicity 8)

Computed properties:
Magnetization ... 0.00 μB per cell
DOS(E_F) ... 10.1 states/eV/f.u.
Energy relative to the elements ... -314 kJ/mol of formula units



Below is a relaxed structure of DyEr5Tl3, with properties calculated at the GGA-PBE level.

Cell lengths 9.3021, 9.3021, 6.6793 Å; angles 90.00, 90.00, 120.00 degrees
Space group P6_3/mcm (No. 193)
Asymmetric unit:
1 Dy 0.0000 0.0000 0.0000 (multiplicity 2)
2 Er 0.0000 0.3329 0.2500 (multiplicity 6)
3 Er 0.3333 0.6667 0.0000 (multiplicity 4)
4 Tl 0.0000 0.3345 0.7500 (multiplicity 6)

Computed properties:
Magnetization ... 0.15 μB per cell
DOS(E_F) ... 10.4 states/eV/f.u.
Energy relative to the elements ... -218 kJ/mol of formula units



Below is a relaxed structure of Dy12Er6Tl, with properties calculated at the GGA-PBE level.

Cell lengths 15.3087, 15.3087, 8.6037 Å; angles 90.00, 90.00, 120.00 degrees
Space group R-3 (No. 148, hexagonal axes)
Asymmetric unit:
1 Dy 0.0351 0.2832 0.3370 (multiplicity 18)
2 Dy 0.0706 0.5614 0.6646 (multiplicity 18)
3 Er 0.0179 0.1391 0.6662 (multiplicity 18)
4 Tl 0.0000 0.0000 0.0000 (multiplicity 3)

Computed properties:
Magnetization ... 0.00 μB per cell
DOS(E_F) ... 25.5 states/eV/f.u.
Energy relative to the elements ... -8 kJ/mol of formula units



Below is a relaxed structure of Dy3Er2Tl2, with properties calculated at the GGA-PBE level.

Cell lengths 9.319, 5.384, 8.584 Å; angles 90.00, 111.27, 90.00 degrees
Space group C2/m (No. 12)
Asymmetric unit:
1 Dy 0.000 0.000 0.000 (multiplicity 2)
2 Dy 0.155 0.000 0.464 (multiplicity 4)
3 Er 0.074 0.500 0.722 (multiplicity 4)
4 Tl 0.216 0.500 0.148 (multiplicity 4)

Computed properties:
Magnetization ... 0.00 μB per cell
DOS(E_F) ... 5.7 states/eV/f.u.
Energy relative to the elements ... -131 kJ/mol of formula units



Below is a relaxed structure of DyEr3Tl2, with properties calculated at the GGA-PBE level.

Cell lengths 5.053, 9.897, 6.795 Å; angles 90.00, 90.00, 90.00 degrees
Space group Pmc2_1 (No. 26)
Asymmetric unit:
1 Dy 0.000 0.043 0.000 (multiplicity 2)
2 Er 0.000 0.313 0.623 (multiplicity 2)
3 Er 0.500 0.190 0.283 (multiplicity 2)
4 Er 0.500 0.457 0.907 (multiplicity 2)
5 Tl 0.000 0.367 0.161 (multiplicity 2)
6 Tl 0.500 0.133 0.744 (multiplicity 2)

Computed properties:
Magnetization ... 0.00 μB per cell
DOS(E_F) ... 5.9 states/eV/f.u.
Energy relative to the elements ... -152 kJ/mol of formula units



Below is a relaxed structure of Dy4Er4Tl, with properties calculated at the GGA-PBE level.

Cell lengths 10.547, 10.547, 4.866 Å; angles 90.00, 90.00, 90.00 degrees
Space group I4/mmm (No. 139)
Asymmetric unit:
1 Dy 0.163 0.163 0.000 (multiplicity 8)
2 Er 0.000 0.336 0.500 (multiplicity 8)
3 Tl 0.000 0.000 0.500 (multiplicity 2)

Computed properties:
Magnetization ... 0.01 μB per cell
DOS(E_F) ... 14.0 states/eV/f.u.
Energy relative to the elements ... -32 kJ/mol of formula units



Below is a relaxed structure of Dy3Er2Tl2, with properties calculated at the GGA-PBE level.

Cell lengths 4.987, 23.337, 3.484 Å; angles 90.00, 90.00, 90.00 degrees
Space group Cmmm (No. 65)
Asymmetric unit:
1 Dy 0.000 0.000 0.000 (multiplicity 2)
2 Dy 0.000 0.147 0.000 (multiplicity 4)
3 Er 0.000 0.286 0.500 (multiplicity 4)
4 Tl 0.000 0.427 0.500 (multiplicity 4)

Computed properties:
Magnetization ... 0.86 μB per cell
DOS(E_F) ... 5.8 states/eV/f.u.
Energy relative to the elements ... -58 kJ/mol of formula units



Below is a relaxed structure of Dy5ErTl4, with properties calculated at the GGA-PBE level.

Cell lengths 3.621, 3.621, 21.556 Å; angles 90.00, 90.00, 90.00 degrees
Space group P4/mmm (No. 123)
Asymmetric unit:
1 Dy 0.000 0.000 0.000 (multiplicity 1)
2 Dy 0.000 0.000 0.195 (multiplicity 2)
3 Dy 0.000 0.000 0.388 (multiplicity 2)
4 Er 0.500 0.500 0.500 (multiplicity 1)
5 Tl 0.500 0.500 0.097 (multiplicity 2)
6 Tl 0.500 0.500 0.291 (multiplicity 2)

Computed properties:
Magnetization ... 0.11 μB per cell
DOS(E_F) ... 8.5 states/eV/f.u.
Energy relative to the elements ... -263 kJ/mol of formula units



Below is a relaxed structure of DyErTl2, with properties calculated at the GGA-PBE level.

Cell lengths 3.7272, 3.7272, 28.8435 Å; angles 90.00, 90.00, 120.00 degrees
Space group R-3m (No. 166, hexagonal axes)
Asymmetric unit:
1 Dy 0.0000 0.0000 0.0000 (multiplicity 3)
2 Er 0.0000 0.0000 0.5000 (multiplicity 3)
3 Tl 0.0000 0.0000 0.2495 (multiplicity 6)

Computed properties:
Magnetization ... 0.00 μB per cell
DOS(E_F) ... 2.0 states/eV/f.u.
Energy relative to the elements ... -99 kJ/mol of formula units



Below is a relaxed structure of Dy7Er2Tl2, with properties calculated at the GGA-PBE level.

Cell lengths 3.631, 19.766, 9.644 Å; angles 90.00, 90.00, 90.00 degrees
Space group Imm2 (No. 44)
Asymmetric unit:
1 Dy 0.000 0.000 0.000 (multiplicity 2)
2 Dy 0.000 0.131 0.466 (multiplicity 4)
3 Dy 0.000 0.341 0.658 (multiplicity 4)
4 Dy 0.000 0.367 0.286 (multiplicity 4)
5 Er 0.000 0.000 0.652 (multiplicity 2)
6 Er 0.000 0.500 0.824 (multiplicity 2)
7 Tl 0.000 0.243 0.946 (multiplicity 4)

Computed properties:
Magnetization ... 1.00 μB per cell
DOS(E_F) ... 15.9 states/eV/f.u.
Energy relative to the elements ... -23 kJ/mol of formula units



Below is a relaxed structure of Dy2ErTl, with properties calculated at the GGA-PBE level.

Cell lengths 7.707, 7.707, 7.707 Å; angles 90.00, 90.00, 90.00 degrees
Space group Fm-3m (No. 225)
Asymmetric unit:
1 Dy 0.250 0.250 0.250 (multiplicity 8)
2 Er 0.000 0.000 0.000 (multiplicity 4)
3 Tl 0.000 0.000 0.500 (multiplicity 4)

Computed properties:
Magnetization ... 5.53 μB per cell
DOS(E_F) ... 5.6 states/eV/f.u.
Energy relative to the elements ... -11 kJ/mol of formula units



Below is a relaxed structure of Dy2Er5Tl4, with properties calculated at the GGA-PBE level.

Cell lengths 5.161, 10.567, 13.241 Å; angles 90.00, 90.00, 90.00 degrees
Space group Immm (No. 71)
Asymmetric unit:
1 Dy 0.000 0.000 0.169 (multiplicity 4)
2 Er 0.000 0.344 0.218 (multiplicity 8)
3 Er 0.000 0.500 0.500 (multiplicity 2)
4 Tl 0.000 0.000 0.391 (multiplicity 4)
5 Tl 0.000 0.211 0.000 (multiplicity 4)

Computed properties:
Magnetization ... 0.00 μB per cell
DOS(E_F) ... 11.2 states/eV/f.u.
Energy relative to the elements ... 148 kJ/mol of formula units



Below is a relaxed structure of Dy12Er5Tl2, with properties calculated at the GGA-PBE level.

Cell lengths 15.325, 9.272, 8.288 Å; angles 90.00, 91.71, 90.00 degrees
Space group C2/m (No. 12)
Asymmetric unit:
1 Dy 0.053 0.000 0.320 (multiplicity 4)
2 Dy 0.088 0.500 0.887 (multiplicity 4)
3 Dy 0.124 0.197 0.654 (multiplicity 8)
4 Dy 0.152 0.315 0.237 (multiplicity 8)
5 Er 0.000 0.500 0.500 (multiplicity 2)
6 Er 0.186 0.000 0.001 (multiplicity 4)
7 Er 0.235 0.500 0.584 (multiplicity 4)
8 Tl 0.000 0.188 0.000 (multiplicity 4)

Computed properties:
Magnetization ... 0.03 μB per cell
DOS(E_F) ... 27.9 states/eV/f.u.
Energy relative to the elements ... 47 kJ/mol of formula units



Below is a relaxed structure of Dy3ErTl, with properties calculated at the GGA-PBE level.

Cell lengths 4.804, 25.226, 4.792 Å; angles 90.00, 90.00, 90.00 degrees
Space group Cmcm (No. 63)
Asymmetric unit:
1 Dy 0.000 0.049 0.250 (multiplicity 4)
2 Dy 0.000 0.250 0.250 (multiplicity 4)
3 Dy 0.000 0.448 0.250 (multiplicity 4)
4 Er 0.000 0.150 0.750 (multiplicity 4)
5 Tl 0.000 0.348 0.750 (multiplicity 4)

Computed properties:
Magnetization ... 0.01 μB per cell
DOS(E_F) ... 5.6 states/eV/f.u.
Energy relative to the elements ... -59 kJ/mol of formula units



Below is a relaxed structure of DyEr7Tl2, with properties calculated at the GGA-PBE level.

Cell lengths 9.106, 15.455, 5.283 Å; angles 90.00, 90.00, 90.00 degrees
Space group Cmmm (No. 65)
Asymmetric unit:
1 Dy 0.000 0.000 0.000 (multiplicity 2)
2 Er 0.000 0.225 0.000 (multiplicity 4)
3 Er 0.000 0.500 0.500 (multiplicity 2)
4 Er 0.182 0.120 0.500 (multiplicity 8)
5 Tl 0.000 0.306 0.500 (multiplicity 4)

Computed properties:
Magnetization ... 0.00 μB per cell
DOS(E_F) ... 18.5 states/eV/f.u.
Energy relative to the elements ... 359 kJ/mol of formula units



Below is a relaxed structure of Dy3ErTl, with properties calculated at the GGA-PBE level.

Cell lengths 14.548, 13.117, 6.519 Å; angles 90.00, 104.01, 90.00 degrees
Space group C2/c (No. 15)
Asymmetric unit:
1 Dy 0.096 0.190 0.479 (multiplicity 8)
2 Dy 0.189 0.311 0.141 (multiplicity 8)
3 Dy 0.198 0.429 0.642 (multiplicity 8)
4 Er 0.104 0.067 0.960 (multiplicity 8)
5 Tl 0.000 0.336 0.750 (multiplicity 4)
6 Tl 0.000 0.416 0.250 (multiplicity 4)

Computed properties:
Magnetization ... 0.00 μB per cell
DOS(E_F) ... 6.6 states/eV/f.u.
Energy relative to the elements ... -21 kJ/mol of formula units



Below is a relaxed structure of Dy3Er3Tl, with properties calculated at the GGA-PBE level.

Cell lengths 9.3571, 9.3571, 5.5042 Å; angles 90.00, 90.00, 120.00 degrees
Space group P6_3/m (No. 176)
Asymmetric unit:
1 Dy 0.1060 0.6276 0.2500 (multiplicity 6)
2 Er 0.0619 0.8228 0.7500 (multiplicity 6)
3 Tl 0.3333 0.6667 0.7500 (multiplicity 2)

Computed properties:
Magnetization ... 0.48 μB per cell
DOS(E_F) ... 9.8 states/eV/f.u.
Energy relative to the elements ... -45 kJ/mol of formula units



Below is a relaxed structure of Dy2Er2Tl3, with properties calculated at the GGA-PBE level.

Cell lengths 3.498, 31.844, 3.552 Å; angles 90.00, 90.00, 90.00 degrees
Space group Cmmm (No. 65)
Asymmetric unit:
1 Dy 0.000 0.068 0.000 (multiplicity 4)
2 Er 0.000 0.202 0.000 (multiplicity 4)
3 Tl 0.000 0.363 0.500 (multiplicity 4)
4 Tl 0.000 0.500 0.500 (multiplicity 2)

Computed properties:
Magnetization ... 0.21 μB per cell
DOS(E_F) ... 7.3 states/eV/f.u.
Energy relative to the elements ... -137 kJ/mol of formula units



Below is a relaxed structure of DyErTl2, with properties calculated at the GGA-PBE level.

Cell lengths 3.772, 3.772, 7.566 Å; angles 90.00, 90.00, 90.00 degrees
Space group P4/mmm (No. 123)
Asymmetric unit:
1 Dy 0.000 0.000 0.000 (multiplicity 1)
2 Er 0.000 0.000 0.500 (multiplicity 1)
3 Tl 0.500 0.500 0.253 (multiplicity 2)

Computed properties:
Magnetization ... 0.00 μB per cell
DOS(E_F) ... 2.7 states/eV/f.u.
Energy relative to the elements ... -127 kJ/mol of formula units



Below is a relaxed structure of DyEr2Tl9, with properties calculated at the GGA-PBE level.

Cell lengths 4.757, 4.757, 14.269 Å; angles 90.00, 90.00, 90.00 degrees
Space group P4/mmm (No. 123)
Asymmetric unit:
1 Dy 0.000 0.000 0.000 (multiplicity 1)
2 Er 0.000 0.000 0.333 (multiplicity 2)
3 Tl 0.000 0.500 0.167 (multiplicity 4)
4 Tl 0.000 0.500 0.500 (multiplicity 2)
5 Tl 0.500 0.500 0.000 (multiplicity 1)
6 Tl 0.500 0.500 0.334 (multiplicity 2)

Computed properties:
Magnetization ... 0.00 μB per cell
DOS(E_F) ... 2.6 states/eV/f.u.
Energy relative to the elements ... -245 kJ/mol of formula units